No. 1
Material: Fe3As2O16
Method: DFT, PBE+U
State: optimized geometry

## Properties
For the energy above the lowest structure with this stoichiometry, the calculation gives 0.000 eV/atom.

```
21
Lattice="5.661 6.110 0.756 -5.661 6.110 0.756 0.000 2.157 4.301" Properties=species:S:1:pos:R:3 pbc="T T T"
Fe 0.000 0.000 0.000
Fe -1.526 6.110 0.756
Fe 1.526 6.110 0.756
As 0.000 5.657 3.860
As 0.000 8.721 1.953
O 0.000 4.060 4.435
O 0.000 10.318 1.378
O 0.000 5.601 2.091
O 0.000 8.777 3.722
O 1.442 6.436 4.364
O -1.442 6.436 4.364
O -1.442 7.942 1.449
O 1.442 7.942 1.449
O -4.161 6.080 2.202
O 4.161 6.080 2.202
O 4.161 8.298 3.611
O -4.161 8.298 3.611
O 3.042 5.469 1.992
O -3.042 5.469 1.992
O -3.042 8.908 3.821
O 3.042 8.908 3.821
```

No. 2
Material: Fe3As2O6
Method: DFT, PBE+U
State: optimized geometry

## Properties
The value obtained for the total energy is -5.98 eV per atom.

```
11
Lattice="-2.184 -1.877 -4.711 4.489 1.333 -2.613 -0.490 -4.879 2.171" Properties=species:S:1:pos:R:3 pbc="T T T"
Fe 0.925 -2.374 -5.126
Fe 0.890 -3.048 -0.026
Fe -1.092 -0.939 -2.356
As -0.173 -3.963 -2.321
As 1.989 -1.460 -2.832
O -0.508 -2.819 -3.671
O -1.780 -4.776 -2.302
O 0.705 -5.207 -3.282
O 2.324 -2.604 -1.481
O 3.596 -0.646 -2.851
O 1.110 -0.216 -1.870
```

No. 3
Material: Fe3AsO
Method: DFT, PBE+U
State: optimized geometry

## Properties
For the energy above the lowest structure with this stoichiometry, the calculation gives 1.253 eV/atom.

```
5
Lattice="-1.381 -2.190 3.850 3.837 -2.606 -0.105 2.212 3.153 2.587" Properties=species:S:1:pos:R:3 pbc="T T T"
As 0.000 0.000 0.000
Fe 1.918 -1.303 -0.053
Fe 1.106 1.576 1.293
Fe -0.691 -1.095 1.925
O 2.334 -0.821 3.166
```

No. 4
Material: Fe3AsO6
Method: DFT, PBE+U
State: optimized geometry

## Properties
The value obtained for the total energy is -6.46 eV per atom.

```
20
Lattice="5.218 0.000 0.002 0.000 5.232 0.000 -0.031 0.000 7.449" Properties=species:S:1:pos:R:3 pbc="T T T"
Fe 2.542 5.038 5.605
Fe 2.609 2.616 0.001
Fe 2.645 0.194 1.846
Fe 5.166 2.810 1.882
Fe -0.015 0.000 3.724
Fe 0.020 2.422 5.569
As 2.593 2.616 3.725
As 0.000 0.000 0.000
O 3.582 0.905 7.072
O 3.447 1.020 4.162
O 3.146 2.309 1.952
O 2.041 2.923 5.499
O 1.740 4.212 3.289
O 1.605 4.327 0.379
O 0.989 1.711 3.347
O 0.853 1.596 0.437
O 0.521 0.307 5.675
O 4.665 4.925 1.776
O 4.333 3.635 7.014
O 4.198 3.521 4.104
```

No. 5
Material: FeAs3O9
Method: DFT, PBE+U
State: optimized geometry

## Properties
The value obtained for the total energy is -6.11 eV per atom.

```
26
Lattice="6.274 0.000 2.640 2.806 6.924 2.106 0.029 -0.032 8.707" Properties=species:S:1:pos:R:3 pbc="T T T"
Fe 1.491 3.455 1.116
Fe 5.852 6.902 7.761
As 6.610 3.821 9.209
As 6.200 0.375 4.226
As 2.748 6.506 9.185
As 2.643 3.059 4.330
As 4.209 1.716 8.342
As 5.029 5.194 4.803
O 2.692 1.384 4.237
O 2.781 4.830 9.084
O 3.135 2.193 9.541
O 4.924 5.672 6.409
O 1.302 0.414 6.568
O 2.057 3.892 3.001
O 6.521 5.025 4.068
O 3.692 1.546 6.762
O 7.803 6.593 7.265
O 6.784 3.115 10.721
O 6.004 5.381 9.094
O 6.705 1.934 4.579
O 4.305 3.584 4.642
O 4.831 0.106 8.748
O 5.659 2.746 8.150
O 4.154 6.224 3.631
O 5.634 0.315 2.547
O 1.931 3.762 5.799
```

No. 6
Material: Fe4As3O21
Method: DFT, PBE+U
State: optimized geometry

## Properties
The value obtained for the total energy is -5.88 eV per atom.

```
28
Lattice="-3.660 7.463 -0.042 -0.272 -0.546 8.290 7.040 3.455 0.458" Properties=species:S:1:pos:R:3 pbc="T T T"
Fe 2.588 9.241 1.446
Fe -2.355 5.992 6.718
Fe 0.067 1.732 1.638
Fe 5.073 3.366 7.557
As 3.220 1.580 0.210
As 6.730 3.097 4.592
As 5.036 7.101 0.426
O 0.806 2.753 6.037
O 6.116 3.835 1.200
O 2.925 9.449 7.893
O -0.641 6.175 2.477
O 3.655 7.660 1.256
O 0.837 8.549 1.191
O 2.656 9.418 3.352
O -1.674 4.303 7.180
O -1.123 7.224 7.401
O -2.594 6.477 4.918
O -0.804 3.328 1.163
O 1.856 1.982 1.151
O 0.116 1.154 3.425
O 4.454 5.166 7.776
O 3.439 2.397 7.591
O 5.453 3.408 5.680
O 1.142 3.732 5.377
O 3.609 5.345 3.671
O 2.854 6.674 5.254
O 0.264 5.805 3.219
O 3.825 6.301 4.501
```

No. 7
Material: FeAsO2
Method: DFT, PBE+U
State: optimized geometry

## Properties
The value obtained for the total energy is -5.72 eV per atom.

```
4
Lattice="1.687 0.000 6.188 -0.844 1.461 6.188 -0.844 -1.461 6.188" Properties=species:S:1:pos:R:3 pbc="T T T"
As 0.000 0.000 0.000
Fe 0.000 0.000 9.281
O 0.000 0.000 16.458
O 0.000 0.000 2.105
```

No. 8
Material: Fe4As2O11
Method: DFT, PBE+U
State: optimized geometry

## Properties
The value obtained for the total energy is -6.42 eV per atom.

```
17
Lattice="5.141 0.000 0.002 -0.931 6.506 0.000 -1.868 -2.475 5.975" Properties=species:S:1:pos:R:3 pbc="T T T"
Fe -0.225 4.824 0.194
Fe 2.568 -0.792 5.782
Fe 2.330 3.461 1.499
Fe 0.013 0.571 4.477
As -0.156 3.803 3.620
As 2.498 0.229 2.356
O 1.525 1.053 5.716
O 0.818 2.979 0.260
O 0.000 0.000 0.000
O 3.389 -0.212 3.776
O -1.046 4.244 2.200
O 0.904 0.668 2.752
O -0.883 2.443 4.411
O 3.225 1.588 1.565
O 0.824 -1.351 4.706
O 1.518 5.383 1.270
O 1.438 3.364 3.224
```

No. 9
Material: FeAsO3
Method: DFT, PBE+U
State: optimized geometry

## Properties
The value obtained for the total energy is -5.59 eV per atom.

```
5
Lattice="-1.716 -1.207 -3.113 -1.261 -3.006 1.861 -3.091 1.897 0.969" Properties=species:S:1:pos:R:3 pbc="T T T"
As 0.000 0.000 0.000
Fe -3.034 -1.158 -0.142
O -0.631 -1.503 0.931
O -1.546 0.948 0.484
O -0.858 -0.604 -1.556
```

No. 10
Material: FeAs3O
Method: DFT, PBE+U
State: optimized geometry

## Properties
For the energy above the lowest structure with this stoichiometry, the calculation gives 0.000 eV/atom.

```
5
Lattice="4.382 0.000 0.000 0.000 4.382 0.000 0.000 0.000 4.382" Properties=species:S:1:pos:R:3 pbc="T T T"
As 0.000 2.191 0.000
As 0.000 0.000 2.191
As 2.191 0.000 0.000
Fe 2.191 2.191 2.191
O 0.000 0.000 0.000
```

No. 11
Material: FeAsO3
Method: DFT, PBE+U
State: optimized geometry

## Properties
The value obtained for the total energy is -6.31 eV per atom.

```
5
Lattice="4.065 -0.163 0.438 0.376 4.051 0.438 -0.186 -0.163 4.084" Properties=species:S:1:pos:R:3 pbc="T T T"
Fe 0.985 0.863 1.149
As 3.671 3.214 4.280
O 2.902 0.515 1.043
O 0.894 2.809 1.043
O 0.589 0.515 3.027
```

No. 12
Material: Fe3As2O8
Method: DFT, PBE+U
State: optimized geometry

## Properties
The value obtained for the total energy is -6.20 eV per atom.

```
13
Lattice="4.636 4.798 -0.056 -4.636 4.798 -0.056 0.000 0.869 4.775" Properties=species:S:1:pos:R:3 pbc="T T T"
Fe 1.370 4.798 -0.056
Fe -1.370 4.798 -0.056
Fe 0.000 0.000 0.000
As 0.000 3.490 2.888
As 0.000 6.976 1.776
O -1.472 4.109 3.532
O 1.472 6.357 1.132
O -1.472 6.357 1.132
O 1.472 4.109 3.532
O 0.000 1.775 3.154
O 0.000 8.691 1.510
O 0.000 6.743 3.483
O 0.000 3.723 1.181
```